PBE-GGA YScZnOs2, optimized geometry; N(E_F) = 3.7 states/eV per cell; E_tot = -5.76 eV per atom; DFT formation energy = 743 kJ/mol of formula units
1.0
4.6927 0.0000 0.0000
0.0000 5.1129 0.0000
0.0000 0.0000 4.6927
Y Sc Zn Os
1 1 1 2
direct
0.0000 0.5000 0.0000
0.0000 0.0000 0.0000
0.5000 0.5000 0.5000
0.0000 0.0000 0.5000
0.5000 0.0000 0.0000